1.
Density functional theory data (PBE) for a relaxed structure of ZrTaOs3.

Output
D(E_F) = 3.77 states/eV per cell
crystal system = cubic
energy relative to the lowest polymorph listed for this composition = 0.0000 eV per atom
formation energy from the elements = 34.00 kcal/mol of atoms

Cell lengths 4.712, 4.712, 4.712 Å; angles 90.00, 90.00, 90.00 degrees
Fractional positions:
Zr1 0.000 0.000 0.000
Ta1 0.500 0.500 0.500
Os1 0.000 0.500 0.500
Os2 0.500 0.000 0.500
Os3 0.500 0.500 0.000

---

2.
Density functional theory data (PBE) for a relaxed structure of CdIn6Pb2.

Output
D(E_F) = 4.28 states/eV per cell
crystal system = trigonal
energy relative to the lowest polymorph listed for this composition = 0.0101 eV per atom
formation energy from the elements = 1.02 kcal/mol of atoms

Cell lengths 9.514, 9.514, 3.255 Å; angles 90.00, 90.00, 120.00 degrees
Fractional positions:
Cd1 0.000 0.000 0.000
In1 0.000 0.326 0.183
In2 0.000 0.674 0.817
In3 0.326 0.000 0.183
In4 0.326 0.326 0.817
In5 0.674 0.000 0.817
In6 0.674 0.674 0.183
Pb1 0.333 0.667 0.500
Pb2 0.667 0.333 0.500

---

3.
Density functional theory data (PBE) for a relaxed structure of PmRe4P2.

Output
D(E_F) = 2.16 states/eV per cell
crystal system = orthorhombic
formation energy from the elements = -13.32 kcal/mol of atoms

Cell lengths 7.224, 7.224, 4.048 Å; angles 90.00, 90.00, 147.20 degrees
Fractional positions:
Pm1 0.000 0.000 0.000
Re1 0.182 0.818 0.500
Re2 0.307 0.693 0.000
Re3 0.693 0.307 0.000
Re4 0.818 0.182 0.500
P1 0.412 0.588 0.500
P2 0.588 0.412 0.500

---

4.
Density functional theory data (PBE) for a relaxed structure of KTbPb2Cl8.

Output
D(E_F) = 0.00 states/eV per cell
crystal system = monoclinic
formation energy from raw total energies = -1.669 eV/atom

Cell lengths 6.576, 8.898, 6.839 Å; angles 90.00, 90.84, 90.00 degrees
Fractional positions:
K1 0.000 0.000 0.000
Tb1 0.000 0.500 0.000
Pb1 0.500 0.249 0.500
Pb2 0.500 0.751 0.500
Cl1 0.227 0.283 0.160
Cl2 0.227 0.717 0.160
Cl3 0.246 0.500 0.688
Cl4 0.279 0.000 0.642
Cl5 0.721 0.000 0.358
Cl6 0.754 0.500 0.312
Cl7 0.773 0.283 0.840
Cl8 0.773 0.717 0.840

---

5.
Density functional theory data (PBE) for a relaxed structure of SrGaBr2.

Output
D(E_F) = 1.07 states/eV per cell
crystal system = trigonal
formation energy from raw total energies = -0.861 eV/atom
energy relative to the lowest polymorph listed for this composition = 0.2896 eV per atom

Cell lengths 9.689, 9.689, 9.689 Å; angles 27.45, 27.45, 27.45 degrees
Fractional positions:
Sr1 0.000 0.000 0.000
Ga1 0.500 0.500 0.500
Br1 0.105 0.105 0.105
Br2 0.895 0.895 0.895

---

6.
Density functional theory data (PBE) for a relaxed structure of Nd3SmEr.

Output
D(E_F) = 8.20 states/eV per cell
crystal system = orthorhombic
energy relative to the lowest polymorph listed for this composition = 0.1458 eV per atom
formation energy from the elements = 7.64 kcal/mol of atoms

Cell lengths 8.140, 8.140, 6.200 Å; angles 90.00, 90.00, 120.26 degrees
Fractional positions:
Nd1 0.000 0.000 0.000
Nd2 0.000 0.000 0.500
Nd3 0.198 0.403 0.750
Nd4 0.403 0.198 0.250
Nd5 0.597 0.802 0.750
Nd6 0.802 0.597 0.250
Sm1 0.200 0.800 0.750
Sm2 0.800 0.200 0.250
Er1 0.330 0.670 0.250
Er2 0.670 0.330 0.750

---

7.
Density functional theory data (PBE) for a relaxed structure of ScPaCuAu.

Output
D(E_F) = 5.13 states/eV per cell
crystal system = cubic
formation energy from the elements = -4.12 kcal/mol of atoms

Cell lengths 4.901, 4.901, 4.901 Å; angles 60.00, 60.00, 60.00 degrees
Fractional positions:
Sc1 0.000 0.000 0.000
Pa1 0.500 0.500 0.500
Cu1 0.250 0.250 0.250
Au1 0.750 0.750 0.750

---

8.
Density functional theory data (PBE) for a relaxed structure of YHRh3.

Output
D(E_F) = 6.95 states/eV per cell
crystal system = cubic
energy relative to the lowest polymorph listed for this composition = 2.3175 eV per atom

Cell lengths 5.003, 5.003, 5.003 Å; angles 90.00, 90.00, 90.00 degrees
Fractional positions:
Y1 0.000 0.000 0.000
H1 0.500 0.500 0.500
Rh1 0.000 0.000 0.500
Rh2 0.000 0.500 0.000
Rh3 0.500 0.000 0.000